(1)
Na2TbTmS4 after structural relaxation. Source: Alexandria via LeMat-Bulk, functional PBE.

The structure in POSCAR format:
```
Na2TbTmS4
1.0
-3.407 1.964 0.526
-2.169 -4.911 4.289
3.420 4.936 3.718
S Tb Na Tm
4 1 2 1
Cartesian
2.094 2.570 3.965
-1.450 0.925 2.117
-0.843 -2.545 4.042
-0.706 1.064 6.415
-2.788 -1.473 2.407
0.625 0.012 4.003
0.006 3.450 2.122
0.000 0.000 0.000
```

Values from the calculation:
- SG: P2/m, No. 10
- Raw formation energy: -14.795 eV per formula unit
- Total energy: -5.3806 eV/atom
- Spin magnetization: 0.00 μB/atom


(2)
AgI3N after structural relaxation. Source: Alexandria via LeMat-Bulk, functional PBE.

The structure in POSCAR format:
```
AgI3N
1.0
-2.650 4.094 2.972
-4.885 -1.197 -2.706
-1.317 -3.798 4.057
Ag N I
1 1 3
Cartesian
0.000 0.000 0.000
-4.426 -0.451 2.161
-2.442 -0.599 -1.353
-1.325 2.047 1.486
-0.658 -1.899 2.028
```

Values from the calculation:
- SG: Pm-3m, No. 221
- Raw formation energy: 5.669 eV per formula unit
- Total energy: -2.0315 eV/atom
- Spin magnetization: 0.59 μB/atom


(3)
Pm8NdIr6 after structural relaxation. Source: Alexandria via LeMat-Bulk, functional PBE.

The structure in POSCAR format:
```
Pm8NdIr6
1.0
7.184 0.050 3.255
2.118 6.865 3.255
0.067 0.050 7.887
Nd Ir Pm
1 6 8
Cartesian
0.000 0.000 0.000
1.294 2.728 7.171
4.022 6.511 8.764
8.075 4.236 7.227
5.348 0.453 5.634
5.018 1.974 10.310
4.351 4.990 4.087
5.872 6.139 6.443
6.545 3.111 4.866
3.127 2.324 4.805
6.891 1.594 7.979
2.825 3.854 9.532
2.479 5.370 6.419
6.243 4.640 9.593
3.497 0.826 7.955
```

Values from the calculation:
- SG: R-3, No. 148
- ΔE_f: -9.30 eV/f.u.
- Total energy: -7.0161 eV/atom
- Spin magnetization: 0.00 μB/atom


no.,V (Å³ per cell)
1,182.2
2,186.3
3,385.8